(1)
Na2Ac2Ge | PBE | relaxed

```
Na2Ac2Ge
1.0
-2.061 2.061 10.463
2.061 -2.061 10.463
2.061 2.061 -10.463
Na Ac Ge
2 2 1
Direct
0.250 0.750 0.500 Na
0.750 0.250 0.500 Na
0.080 0.080 0.000 Ac
0.920 0.920 0.000 Ac
0.500 0.500 0.000 Ge
```

E_form = -0.053 eV per atom
total magnetization = 0.00 μB/f.u.
mass density = 5.35 g/cm³



(2)
NaAcGe | PBE | relaxed

```
NaAcGe
1.0
5.541 0.000 0.000
-2.770 4.798 0.000
0.000 0.000 6.684
Na Ac Ge
2 2 2
Direct
0.000 0.000 0.000 Na
0.000 0.000 0.500 Na
0.333 0.667 0.250 Ac
0.667 0.333 0.750 Ac
0.333 0.667 0.750 Ge
0.667 0.333 0.250 Ge
```

E_form = -0.455 eV per atom
total magnetization = 0.00 μB/f.u.
mass density = 6.03 g/cm³
excess energy over the best structure of this formula in the dataset = 0.0 meV per atom



(3)
NaAcGe | PBE | relaxed

```
NaAcGe
1.0
4.964 0.000 0.000
-2.482 4.299 0.000
0.000 0.000 4.179
Na Ac Ge
1 1 1
Direct
0.000 0.000 0.000 Na
0.667 0.333 0.508 Ac
0.333 0.667 0.130 Ge
```

E_form = -0.248 eV per atom
total magnetization = 0.00 μB/f.u.
mass density = 6.01 g/cm³
excess energy over the best structure of this formula in the dataset = 206.8 meV per atom



(4)
Na2Ac5Ge4 | PBE | relaxed

```
Na2Ac5Ge4
1.0
10.995 -2.327 0.000
10.995 2.327 0.000
-2.732 0.000 7.257
Na Ac Ge
2 5 4
Direct
0.066 0.066 0.066 Na
0.934 0.934 0.934 Na
0.000 0.000 0.500 Ac
0.337 0.337 0.089 Ac
0.337 0.337 0.584 Ac
0.663 0.663 0.416 Ac
0.663 0.663 0.911 Ac
0.211 0.211 0.211 Ge
0.500 0.500 0.195 Ge
0.500 0.500 0.805 Ge
0.789 0.789 0.789 Ge
```

E_form = -0.354 eV per atom
total magnetization = 0.00 μB/f.u.
mass density = 6.58 g/cm³



(5)
NaAcGe | PBE | relaxed

```
NaAcGe
1.0
4.631 0.000 0.000
0.000 4.631 0.000
0.000 0.000 8.384
Na Ac Ge
2 2 2
Direct
0.250 0.750 0.000 Na
0.750 0.250 0.000 Na
0.250 0.250 0.351 Ac
0.750 0.750 0.649 Ac
0.250 0.250 0.733 Ge
0.750 0.750 0.267 Ge
```

E_form = -0.427 eV per atom
total magnetization = 0.08 μB/f.u.
mass density = 5.96 g/cm³
excess energy over the best structure of this formula in the dataset = 28.1 meV per atom



(6)
NaAcNdGe | PBE | relaxed

```
NaAcNdGe
1.0
0.000 3.888 3.888
3.888 0.000 3.888
3.888 3.888 0.000
Na Ac Nd Ge
1 1 1 1
Direct
0.000 0.000 0.000 Na
0.250 0.250 0.250 Ac
0.750 0.750 0.750 Nd
0.500 0.500 0.500 Ge
```

E_form = -0.213 eV per atom
total magnetization = 0.00 μB/f.u.
mass density = 6.60 g/cm³



Which of these has the highest E_form?
Na2Ac2Ge